(1)
{
  "formula": "CoBSb",
  "functional": "GGA-PBE",
  "state": "relaxed",
  "total_magnetization_mub_per_atom": 0.00,
  "de_polymorph_mev_per_atom": 0,
  "sg": "F-43m",
  "cell": [[0.000, 2.766, 2.766], [2.766, 0.000, 2.766], [2.766, 2.766, 0.000]],
  "species": ["Co", "B", "Sb"],
  "fractional_positions": [[0.000, 0.000, 0.000], [0.750, 0.750, 0.750], [0.250, 0.250, 0.250]]
}


(2)
{
  "formula": "RbCd",
  "functional": "GGA-PBE",
  "state": "relaxed",
  "e_tot_ev_per_atom": -1.00,
  "sg": "R-3m",
  "cell": [[2.558, 1.477, 8.939], [-2.558, 1.477, 8.939], [0.000, -2.953, 8.939]],
  "species": ["Rb", "Rb", "Cd", "Cd"],
  "fractional_positions": [[0.091, 0.091, 0.091], [0.909, 0.909, 0.909], [0.333, 0.333, 0.333], [0.667, 0.667, 0.667]]
}


(3)
{
  "formula": "KFeAgSeS2",
  "functional": "GGA-PBE",
  "state": "relaxed",
  "total_magnetization_mub_per_atom": 0.40,
  "e_tot_ev_per_atom": -4.30,
  "sg": "Cmcm",
  "cell": [[1.768, -7.588, 0.000], [1.768, 7.588, 0.000], [0.000, 0.000, 10.288]],
  "species": ["K", "K", "Fe", "Fe", "Ag", "Ag", "Se", "Se", "S", "S", "S", "S"],
  "fractional_positions": [[0.243, 0.757, 0.750], [0.757, 0.243, 0.250], [0.000, 0.000, 0.000], [0.000, 0.000, 0.500], [0.445, 0.555, 0.250], [0.555, 0.445, 0.750], [0.075, 0.925, 0.250], [0.925, 0.075, 0.750], [0.400, 0.600, 0.023], [0.400, 0.600, 0.477], [0.600, 0.400, 0.523], [0.600, 0.400, 0.977]]
}


(4)
{
  "formula": "TbCo6Ge6",
  "functional": "GGA-PBE",
  "state": "relaxed",
  "total_magnetization_mub_per_atom": 0.00,
  "e_tot_ev_per_atom": -6.11,
  "sg": "P6/mmm",
  "cell": [[5.098, 0.000, 0.000], [-2.549, 4.415, 0.000], [0.000, 0.000, 7.854]],
  "species": ["Tb", "Co", "Co", "Co", "Co", "Co", "Co", "Ge", "Ge", "Ge", "Ge", "Ge", "Ge"],
  "fractional_positions": [[0.000, 0.000, 0.000], [0.000, 0.500, 0.251], [0.000, 0.500, 0.749], [0.500, 0.000, 0.251], [0.500, 0.000, 0.749], [0.500, 0.500, 0.251], [0.500, 0.500, 0.749], [0.000, 0.000, 0.345], [0.000, 0.000, 0.655], [0.333, 0.667, 0.000], [0.333, 0.667, 0.500], [0.667, 0.333, 0.000], [0.667, 0.333, 0.500]]
}


(5)
{
  "formula": "NaSiNiB",
  "functional": "GGA-PBE",
  "state": "relaxed",
  "total_magnetization_mub_per_atom": 0.00,
  "de_polymorph_mev_per_atom": 0,
  "sg": "F-43m",
  "cell": [[0.000, 2.883, 2.883], [2.883, 0.000, 2.883], [2.883, 2.883, 0.000]],
  "species": ["Na", "Si", "Ni", "B"],
  "fractional_positions": [[0.000, 0.000, 0.000], [0.750, 0.750, 0.750], [0.500, 0.500, 0.500], [0.250, 0.250, 0.250]]
}


(6)
{
  "formula": "NaPa",
  "functional": "GGA-PBE",
  "state": "relaxed",
  "total_magnetization_mub_per_atom": 0.80,
  "de_polymorph_mev_per_atom": 1470,
  "sg": "Fm-3m",
  "cell": [[0.000, 3.158, 3.158], [3.158, 0.000, 3.158], [3.158, 3.158, 0.000]],
  "species": ["Na", "Pa"],
  "fractional_positions": [[0.000, 0.000, 0.000], [0.500, 0.500, 0.500]]
}


(7)
{
  "formula": "LiErMo",
  "functional": "GGA-PBE",
  "state": "relaxed",
  "total_magnetization_mub_per_atom": 0.10,
  "de_polymorph_mev_per_atom": 0,
  "sg": "F-43m",
  "cell": [[0.000, 3.113, 3.113], [3.113, 0.000, 3.113], [3.113, 3.113, 0.000]],
  "species": ["Li", "Er", "Mo"],
  "fractional_positions": [[0.000, 0.000, 0.000], [0.750, 0.750, 0.750], [0.250, 0.250, 0.250]]
}


(8)
{
  "formula": "Cu4Ag",
  "functional": "GGA-PBE",
  "state": "relaxed",
  "formation_energy_ev_per_atom": 0.068,
  "de_polymorph_mev_per_atom": 24,
  "sg": "C2/m",
  "cell": [[10.883, -1.357, 0.000], [10.883, 1.357, 0.000], [-0.656, 0.000, 4.423]],
  "species": ["Cu", "Cu", "Cu", "Cu", "Cu", "Cu", "Cu", "Cu", "Ag", "Ag"],
  "fractional_positions": [[0.063, 0.063, 0.323], [0.156, 0.156, 0.040], [0.250, 0.250, 0.750], [0.344, 0.344, 0.458], [0.656, 0.656, 0.542], [0.750, 0.750, 0.250], [0.844, 0.844, 0.960], [0.937, 0.937, 0.677], [0.452, 0.452, 0.191], [0.548, 0.548, 0.809]]
}